Density functional theory data (PBE) for a geometry-optimized NbRePt2F structure.

POSCAR file:
```
NbRePt2F
1.0
4.8812 0.0000 0.0000
0.0000 4.8613 0.0000
0.0000 0.0000 4.8812
Re Nb Pt F
1 1 2 1
Direct
0.0000 0.5000 0.0000 Re
0.0000 0.0000 0.0000 Nb
0.0000 0.0000 0.5000 Pt
0.5000 0.0000 0.0000 Pt
0.5000 0.5000 0.5000 F
```

Properties
Crystal system = tetragonal
DOS at the Fermi energy = 4.53 states/eV per cell
Formation energy from raw total energies = 1.474 eV/atom
Volume = 116 Å³/cell
Electronic total energy = -0.428 Ry/atom
Symmetry = P4/mmm (123)